Computed, not measured: MgTe2Os after structural relaxation at the GGA-PBE level of DFT.

a = 10.621 Å, b = 10.621 Å, c = 10.621 Å
α = 17.72°, β = 17.72°, γ = 17.72°
Atoms (fractional coordinates):
Te 0.028 0.028 0.028
Te 0.232 0.232 0.232
Os 0.753 0.753 0.753
Mg 0.486 0.486 0.486

crystal system = trigonal
SG = No. 160
energy relative to the elements, uncorrected = 166 meV/atom
ρ = 8.048 g/cm³
density of states at the Fermi level = 2.8 states/eV/f.u.
E_tot = -18.44 eV for the cell shown

---

Computed, not measured: Ti3O4 after structural relaxation at the GGA-PBE level of DFT.

a = 5.040 Å, b = 5.040 Å, c = 3.024 Å
α = 90.00°, β = 90.00°, γ = 108.35°
Atoms (fractional coordinates):
Ti 0.000 0.000 0.500
Ti 0.500 0.000 0.000
Ti 0.000 0.500 0.000
O 0.743 0.257 0.500
O 0.765 0.765 0.000
O 0.257 0.743 0.500
O 0.235 0.235 0.000

crystal system = orthorhombic
SG = No. 65
energy relative to the elements, uncorrected = -2733 meV/atom
ρ = 4.727 g/cm³
density of states at the Fermi level = 3.6 states/eV/f.u.
excess energy over the best structure of this formula in the dataset = 23.1 kJ/mol of formula units
E_tot = -62.65 eV for the cell shown

---

Computed, not measured: Lu2SbS after structural relaxation at the GGA-PBE level of DFT.

a = 4.056 Å, b = 4.056 Å, c = 7.066 Å
α = 73.32°, β = 73.32°, γ = 60.00°
Atoms (fractional coordinates):
Sb 0.500 0.500 0.500
Lu 0.259 0.259 0.223
Lu 0.741 0.741 0.777
S 0.000 0.000 0.000

crystal system = trigonal
SG = No. 166
energy relative to the elements, uncorrected = -1394 meV/atom
ρ = 8.807 g/cm³
density of states at the Fermi level = 1.8 states/eV/f.u.
E_tot = -22.87 eV for the cell shown

---

Computed, not measured: CdAsAu2 after structural relaxation at the GGA-PBE level of DFT.

a = 4.279 Å, b = 4.279 Å, c = 4.179 Å
α = 90.00°, β = 90.00°, γ = 90.00°
Atoms (fractional coordinates):
Cd 0.500 0.000 0.500
As 0.000 0.500 0.500
Au 0.500 0.500 0.000
Au 0.000 0.000 0.000

energy of formation from the pure elements = 29 meV per atom
crystal system = tetragonal
SG = No. 123
ρ = 12.612 g/cm³
density of states at the Fermi level = 1.0 states/eV/f.u.
excess energy over the best structure of this formula in the dataset = 8.0 kJ/mol of formula units
E_tot = -12.00 eV for the cell shown